Material: PrSmCu3
Method: DFT, PBE
State: relaxed

E, eV for the cell shown: -45.5
DFT formation energy, eV per atom: -0.20
Magnetic moment, μB/atom: 0.000

The structure in extended XYZ format:
```
10
Lattice="1.9023 -12.9725 0.0000 1.9023 12.9725 0.0000 0.0000 0.0000 4.3448" Properties=species:S:1:pos:R:3 pbc="T T T"
Pr 1.9023 11.1300 3.2586
Pr 1.9023 -11.1300 1.0862
Sm 1.9023 7.6893 1.0862
Sm 1.9023 -7.6893 3.2586
Cu 1.9023 4.4367 1.0862
Cu 1.9023 3.0786 3.2586
Cu 1.9023 0.6062 3.2586
Cu 1.9023 -0.6062 1.0862
Cu 1.9023 -3.0786 1.0862
Cu 1.9023 -4.4367 3.2586
```